1.
Below is a PBEsol-optimized structure of LaTcBr3, with properties calculated at the SCAN level.

Cell and atoms, written as POSCAR:
```
LaTcBr3
1.0
5.7664 0.0000 0.0000
0.0000 5.7664 0.0000
0.0000 0.0000 5.7664
Tc Br La
1 3 1
direct
0.5000 0.5000 0.5000 Tc
0.0000 0.5000 0.0000 Br
0.0000 0.0000 0.5000 Br
0.5000 0.0000 0.0000 Br
0.0000 0.0000 0.0000 La
```

Results
raw formation energy = -423 meV per atom
V = 38.35 A^3/atom
space group = Pm-3m (221)

2.
Below is a PBEsol-optimized structure of LaTc4Br, with properties calculated at the SCAN level.

Cell and atoms, written as POSCAR:
```
LaTc4Br
1.0
5.3313 0.0000 0.0000
2.6657 4.6170 0.0000
2.6657 1.5390 4.3530
Br La Tc
1 1 4
direct
0.7500 0.7500 0.7500 Br
0.0000 0.0000 0.0000 La
0.3761 0.3761 0.3761 Tc
0.3761 0.3761 0.8718 Tc
0.8718 0.3761 0.3761 Tc
0.3761 0.8718 0.3761 Tc
```

Results
raw formation energy = 673 meV per atom
V = 17.86 A^3/atom
space group = F-43m (216)

3.
Below is a PBEsol-optimized structure of LaTcBr, with properties calculated at the SCAN level.

Cell and atoms, written as POSCAR:
```
LaTcBr
1.0
4.7226 0.0000 0.0000
2.3613 4.0899 0.0000
2.3613 1.3633 3.8560
Tc Br La
1 1 1
direct
0.5000 0.5000 0.5000 Tc
0.2500 0.2500 0.2500 Br
0.0000 0.0000 0.0000 La
```

Results
raw formation energy = 328 meV per atom
V = 24.83 A^3/atom
space group = F-43m (216)